VASP calculation (PBE) on a geometry-optimized Ce2Si3Ni12Ir structure.

Results
As for the total energy: -108.0 eV per cell. As for the spin magnetization: 0.00 Bohr magnetons per cell. The value obtained for the formation energy (no corrections) is -89 meV/atom. Its space group is R-3m, No. 166.

Cell lengths 6.277, 6.277, 6.277 Å; angles 83.96, 83.96, 83.96 degrees
Sites, in units of the cell vectors:
Ce: 0.164 0.164 0.164
Ce: 0.836 0.836 0.836
Si: 0.000 0.500 0.500
Si: 0.500 0.000 0.500
Si: 0.500 0.500 0.000
Ni: 0.116 0.116 0.595
Ni: 0.116 0.595 0.116
Ni: 0.190 0.697 0.697
Ni: 0.303 0.303 0.810
Ni: 0.303 0.810 0.303
Ni: 0.405 0.884 0.884
Ni: 0.595 0.116 0.116
Ni: 0.697 0.190 0.697
Ni: 0.697 0.697 0.190
Ni: 0.810 0.303 0.303
Ni: 0.884 0.405 0.884
Ni: 0.884 0.884 0.405
Ir: 0.500 0.500 0.500